(1)
## Tm2Th3Sc8 (PBE-GGA)

Data for crystalline Tm2Th3Sc8 at its relaxed geometry.

Values from the calculation:
The calculation puts the density of states at the Fermi level at 22.408 states/eV per cell. The total magnetization is 0.004 μB per formula unit. The crystal system is monoclinic. The calculation puts the formation energy at 0.168 eV per atom. Its total DFT energy (no corrections) is -6.13 eV per atom.

a = 5.6978 Å, b = 10.8013 Å, c = 8.2752 Å
α = 130.74°, β = 106.72°, γ = 90.00°
With the nearest neighbours (Å) after each atom.
Fractional coordinates of all 13 atoms:
1 Tm 0.6595 0.3007 0.6014  9 Sc 3.05-3.41
2 Tm 0.3405 0.6993 0.3986  9 Sc 3.05-3.41
3 Th 0.5000 0.0000 0.0000  6 Sc 3.09-3.42
4 Th 0.0000 0.2436 0.0000  6 Sc 3.26-3.34
5 Th 0.0000 0.7564 0.0000  6 Sc 3.26-3.34
6 Sc 0.7670 0.5687 0.1374  4 Sc 2.87-3.13, 2 Tm 3.05-3.18
7 Sc 0.2330 0.4313 0.8626  4 Sc 2.87-3.13, 2 Tm 3.05-3.18
8 Sc 0.0657 0.1630 0.3261  3 Th 3.09-3.26, 3 Sc 3.13-3.32, 2 Tm 3.16-3.37
9 Sc 0.9343 0.8370 0.6739  3 Th 3.09-3.26, 3 Sc 3.13-3.32, 2 Tm 3.16-3.37
10 Sc 0.3165 0.5710 0.6471  4 Sc 3.11-3.37, 2 Tm 3.17-3.39, 2 Th 3.34-3.42
11 Sc 0.3165 0.0762 0.6471  4 Sc 3.11-3.37, 2 Tm 3.17-3.39, 2 Th 3.34-3.42
12 Sc 0.6835 0.9238 0.3529  4 Sc 3.11-3.37, 2 Tm 3.17-3.39, 2 Th 3.34-3.42
13 Sc 0.6835 0.4290 0.3529  4 Sc 3.11-3.37, 2 Tm 3.17-3.39, 2 Th 3.34-3.42

---

(2)
## Tm3Th2Sc8 (PBE-GGA)

Data for crystalline Tm3Th2Sc8 at its relaxed geometry.

Values from the calculation:
The calculation puts the density of states at the Fermi level at 24.030 states/eV per cell. The total magnetization is 0.000 μB per formula unit. The crystal system is trigonal. The calculation puts the formation energy at 0.288 eV per atom. Its total DFT energy (no corrections) is -5.78 eV per atom.

a = 6.1436 Å, b = 6.1436 Å, c = 11.8351 Å
α = 74.96°, β = 74.96°, γ = 60.00°
With the nearest neighbours (Å) after each atom.
Fractional coordinates of all 13 atoms:
1 Tm 0.0000 0.0000 0.0000  6 Th 3.69, 12 Sc 4.04-4.08
2 Tm 0.8141 0.8141 0.5578  4 Sc 2.99-3.20
3 Tm 0.1859 0.1859 0.4422  4 Sc 2.99-3.20
4 Th 0.6365 0.6365 0.0906  4 Sc 3.03-3.16
5 Th 0.3635 0.3635 0.9094  4 Sc 3.03-3.16
6 Sc 0.7259 0.7259 0.8222  1 Tm 2.99, 1 Th 3.03
7 Sc 0.2741 0.2741 0.1778  1 Tm 2.99, 1 Th 3.03
8 Sc 0.2249 0.7267 0.3218  4 Sc 3.06-3.08, 1 Th 3.16, 3 Tm 3.20-3.36
9 Sc 0.7267 0.2249 0.3218  4 Sc 3.06-3.08, 1 Th 3.16, 3 Tm 3.20-3.36
10 Sc 0.7267 0.7267 0.3218  4 Sc 3.06-3.08, 1 Th 3.16, 3 Tm 3.20-3.36
11 Sc 0.2733 0.7751 0.6782  4 Sc 3.06-3.08, 1 Th 3.16, 3 Tm 3.20-3.36
12 Sc 0.7751 0.2733 0.6782  4 Sc 3.06-3.08, 1 Th 3.16, 3 Tm 3.20-3.36
13 Sc 0.2733 0.2733 0.6782  4 Sc 3.06-3.08, 1 Th 3.16, 3 Tm 3.20-3.36

---

(3)
## Tm3ThSc4 (PBE-GGA)

Data for crystalline Tm3ThSc4 at its relaxed geometry.

Values from the calculation:
The calculation puts the density of states at the Fermi level at 11.856 states/eV per cell. The total magnetization is 0.000 μB per formula unit. As for the polymorph energy (0 for the lowest one): 45 meV/atom. The crystal system is orthorhombic. The calculation puts the formation energy at 0.073 eV per atom. Its total DFT energy (no corrections) is -5.70 eV per atom.

a = 3.7711 Å, b = 5.4091 Å, c = 10.7638 Å
α = 90.00°, β = 90.00°, γ = 90.00°
With the nearest neighbours (Å) after each atom.
Fractional coordinates of all 8 atoms:
1 Sc 0.0000 0.0000 0.5000  8 Tm 3.25-3.30
2 Sc 0.0000 0.5000 0.7497  6 Tm 3.28-3.30, 2 Th 3.29
3 Sc 0.0000 0.0000 0.0000  4 Th 3.30, 4 Tm 3.32
4 Sc 0.0000 0.5000 0.2503  6 Tm 3.28-3.30, 2 Th 3.29
5 Tm 0.5000 0.0000 0.2536  8 Sc 3.25-3.32
6 Tm 0.5000 0.5000 0.5000  8 Sc 3.28-3.30
7 Tm 0.5000 0.0000 0.7464  8 Sc 3.25-3.32
8 Th 0.5000 0.5000 0.0000  8 Sc 3.29-3.30

---

(4)
## Tm3Th3Sc5 (PBE-GGA)

Data for crystalline Tm3Th3Sc5 at its relaxed geometry.

Values from the calculation:
The calculation puts the density of states at the Fermi level at 19.070 states/eV per cell. The total magnetization is 0.001 μB per formula unit. As for the polymorph energy (0 for the lowest one): 353 meV/atom. The crystal system is hexagonal. The calculation puts the formation energy at 0.397 eV per atom. Its total DFT energy (no corrections) is -5.72 eV per atom.

a = 3.2954 Å, b = 10.7261 Å, c = 10.7261 Å
α = 120.00°, β = 90.00°, γ = 90.00°
With the nearest neighbours (Å) after each atom.
Fractional coordinates of all 11 atoms:
1 Tm 0.0000 0.4021 0.4021  2 Sc 3.12, 2 Th 3.28, 2 Tm 3.30
2 Tm 0.0000 0.5979 0.0000  2 Sc 3.12, 2 Th 3.28, 2 Tm 3.30
3 Tm 0.0000 0.0000 0.5979  2 Sc 3.12, 2 Th 3.28, 2 Tm 3.30
4 Th 0.5000 0.6661 0.6661  2 Sc 3.10, 2 Tm 3.28, 2 Th 3.30
5 Th 0.5000 0.0000 0.3339  2 Sc 3.10, 2 Tm 3.28, 2 Th 3.30
6 Th 0.5000 0.3339 0.0000  2 Sc 3.10, 2 Tm 3.28, 2 Th 3.30
7 Sc 0.5000 0.3333 0.6667  2 Sc 3.30, 3 Th 3.57, 6 Tm 3.66
8 Sc 0.5000 0.6667 0.3333  2 Sc 3.30, 3 Th 3.57, 6 Tm 3.66
9 Sc 0.5000 0.1550 0.1550  2 Sc 2.88, 2 Th 3.10, 2 Tm 3.12
10 Sc 0.5000 0.0000 0.8450  2 Sc 2.88, 2 Th 3.10, 2 Tm 3.12
11 Sc 0.5000 0.8450 0.0000  2 Sc 2.88, 2 Th 3.10, 2 Tm 3.12